Entry 1:
Below is a relaxed Mn2NiP crystal, with properties calculated at the PBEsol level.

The structure in POSCAR format:
```
Mn2NiP
1.0
3.874 0.000 0.000
0.000 3.874 0.000
0.000 0.000 2.719
Mn Ni P
2 1 1
direct
0.000 0.500 0.000
0.500 0.000 0.000
0.000 0.000 0.500
0.500 0.500 0.500
```

Computed properties:
- VASP energy: -32.33 eV/cell
- Symmetry: P4/mmm
- M_tot: 0.0003 μB per atom

---

Entry 2:
Below is a relaxed TaSi5 crystal, with properties calculated at the PBEsol level.

The structure in POSCAR format:
```
TaSi5
1.0
4.829 0.000 0.000
-2.415 4.182 0.000
0.000 0.000 4.309
Ta Si
1 5
direct
0.000 0.000 0.000
0.000 0.500 0.500
0.333 0.667 0.000
0.500 0.000 0.500
0.500 0.500 0.500
0.667 0.333 0.000
```

Computed properties:
- Raw formation energy: 2.70 eV/f.u.
- VASP energy: -38.59 eV/cell
- Symmetry: P6/mmm
- Offset from the most stable computed form: 0.371 eV per atom
- M_tot: 0.0001 μB per atom

---

Question: What is the M_tot in the first record?
Answer: 0.0003 μB per atom

---

Question: What is the VASP energy in the first record?
Answer: -32.33 eV/cell

---

Question: VASP energy of number 2 (TaSi5)?
Answer: -38.59 eV/cell

---

Question: Which of these has the lowest VASP energy?
Answer: TaSi5